No. 1
Ca2Zn2Ge3 after structural relaxation. Source: the Alexandria database, functional PBE-GGA.

abc: 9.6482 9.6482 6.8554
angles: 90.00 90.00 152.75
Fractional positions:
Ca  0.0482  0.9518  0.7500
Ca  0.1531  0.8469  0.2500
Ca  0.8469  0.1531  0.7500
Ca  0.9518  0.0482  0.2500
Zn  0.3095  0.6905  0.0587
Zn  0.3095  0.6905  0.4413
Zn  0.6905  0.3095  0.5587
Zn  0.6905  0.3095  0.9413
Ge  0.2222  0.7778  0.7500
Ge  0.4375  0.5625  0.5667
Ge  0.4375  0.5625  0.9333
Ge  0.5625  0.4375  0.0667
Ge  0.5625  0.4375  0.4333
Ge  0.7778  0.2222  0.2500

Summary:
Space-group type: Cmcm (63)
DFT total energy: -3.33 eV/atom
Formation energy: -0.418 eV per atom
Calculated density: 4.874 g cm⁻³
Calculated volume: 20.9 Å³/atom


No. 2
ZrTcCl2 after structural relaxation. Source: the Alexandria database, functional PBE-GGA.

abc: 10.4692 10.4692 10.4692
angles: 17.29 17.29 17.29
Fractional positions:
Zr  0.0000  0.0000  0.0000
Tc  0.5000  0.5000  0.5000
Cl  0.2726  0.2726  0.2726
Cl  0.7274  0.7274  0.7274

Summary:
Space-group type: R-3m (166)
DFT total energy: -5.78 eV/atom
Polymorph energy (0 for the lowest one): 427.9 meV per atom
Calculated density: 4.882 g cm⁻³
Raw formation energy: -127 meV/atom
Calculated volume: 22.1 Å³/atom


No. 3
Cs2Sr4Pd after structural relaxation. Source: the Alexandria database, functional PBE-GGA.

abc: 13.0089 13.0089 13.0089
angles: 152.59 152.59 39.15
Fractional positions:
Cs  0.1802  0.1802  0.0000
Cs  0.8198  0.8198  0.0000
Sr  0.0000  0.5000  0.5000
Sr  0.3805  0.3805  0.0000
Sr  0.5000  0.0000  0.5000
Sr  0.6195  0.6195  0.0000
Pd  0.5000  0.5000  0.0000

Summary:
Space-group type: I4/mmm (139)
DFT total energy: -2.03 eV/atom
Formation energy: -0.082 eV per atom
Calculated density: 2.578 g cm⁻³
Calculated volume: 66.5 Å³/atom


No. 4
NiSb2PdI after structural relaxation. Source: the Alexandria database, functional PBE-GGA.

abc: 5.1640 5.1640 5.5122
angles: 90.00 90.00 90.00
Fractional positions:
Ni  0.0000  0.0000  0.0000
Sb  0.0000  0.5000  0.5000
Sb  0.5000  0.0000  0.5000
Pd  0.5000  0.5000  0.5000
I  0.5000  0.5000  0.0000

Summary:
Space-group type: P4/mmm (123)
DFT total energy: -3.33 eV/atom
Polymorph energy (0 for the lowest one): 328.9 meV per atom
Calculated density: 6.050 g cm⁻³
Raw formation energy: 825 meV/atom
Calculated volume: 29.4 Å³/atom


No. 5
CsSi2SeN after structural relaxation. Source: the Alexandria database, functional PBE-GGA.

abc: 4.3334 4.3334 6.2406
angles: 90.00 90.00 90.00
Fractional positions:
Cs  0.0000  0.0000  0.0000
Si  0.0000  0.5000  0.5000
Si  0.5000  0.0000  0.5000
Se  0.5000  0.5000  0.0000
N  0.0000  0.0000  0.5000

Summary:
Space-group type: P4/mmm (123)
DFT total energy: -3.89 eV/atom
Calculated density: 3.997 g cm⁻³
Raw formation energy: 809 meV/atom
Calculated volume: 23.4 Å³/atom


No. 6
ScSnCl5 after structural relaxation. Source: the Alexandria database, functional PBE-GGA.

abc: 6.9654 6.9654 9.8833
angles: 107.74 107.74 92.80
Fractional positions:
Sc  0.0000  0.5000  0.0000
Sc  0.5000  0.0000  0.5000
Sn  0.0833  0.9167  0.7500
Sn  0.9167  0.0833  0.2500
Cl  0.1983  0.6163  0.8613
Cl  0.2221  0.2397  0.0346
Cl  0.2317  0.7683  0.2500
Cl  0.2397  0.2221  0.5346
Cl  0.3837  0.8017  0.6387
Cl  0.6163  0.1983  0.3613
Cl  0.7603  0.7779  0.4654
Cl  0.7683  0.2317  0.7500
Cl  0.7779  0.7603  0.9654
Cl  0.8017  0.3837  0.1387

Summary:
Space-group type: C2/c (15)
DFT total energy: -4.37 eV/atom
Calculated density: 2.635 g cm⁻³
Raw formation energy: -1575 meV/atom
Calculated volume: 30.7 Å³/atom


No. 7
MnInFe2 after structural relaxation. Source: the Alexandria database, functional PBE-GGA.

abc: 5.4329 5.4329 5.4329
angles: 103.19 103.19 122.93
Fractional positions:
Mn  0.0000  0.0000  0.0000
Mn  0.7500  0.2500  0.5000
In  0.2500  0.7500  0.5000
In  0.5000  0.5000  0.0000
Fe  0.0691  0.6250  0.9441
Fe  0.3750  0.3191  0.4441
Fe  0.6809  0.1250  0.0559
Fe  0.8750  0.9309  0.5559

Summary:
Space-group type: I-42d (122)
DFT total energy: -6.54 eV/atom
Formation energy: 0.673 eV per atom
Calculated density: 7.905 g cm⁻³
Calculated volume: 14.8 Å³/atom


No. 8
Ba2Cd3Hg5 after structural relaxation. Source: the Alexandria database, functional PBE-GGA.

abc: 9.9787 9.9787 9.9787
angles: 108.00 86.13 139.33
Fractional positions:
Ba  0.1327  0.2307  0.3634
Ba  0.3673  0.7307  0.0980
Ba  0.6327  0.2693  0.9020
Ba  0.8673  0.7693  0.6366
Cd  0.1443  0.9005  0.0448
Cd  0.2500  0.7500  0.5000
Cd  0.3557  0.4005  0.7562
Cd  0.6443  0.5995  0.2438
Cd  0.7500  0.2500  0.5000
Cd  0.8557  0.0995  0.9552
Hg  0.0371  0.7500  0.2871
Hg  0.0995  0.6642  0.7637
Hg  0.2500  0.2500  0.0000
Hg  0.4005  0.1642  0.5647
Hg  0.4629  0.7500  0.7129
Hg  0.5371  0.2500  0.2871
Hg  0.5995  0.8358  0.4353
Hg  0.7500  0.7500  0.0000
Hg  0.9005  0.3358  0.2363
Hg  0.9629  0.2500  0.7129

Summary:
Space-group type: Ibam (72)
DFT total energy: -1.14 eV/atom
Polymorph energy (0 for the lowest one): 0.0 meV per atom
Formation energy: -0.333 eV per atom
Calculated density: 9.042 g cm⁻³
Calculated volume: 29.7 Å³/atom


No. 9
Cs2NaY after structural relaxation. Source: the Alexandria database, functional PBE-GGA.

abc: 7.0785 7.0785 7.0785
angles: 60.00 60.00 60.00
Fractional positions:
Cs  0.2500  0.2500  0.2500
Cs  0.7500  0.7500  0.7500
Na  0.0000  0.0000  0.0000
Y  0.5000  0.5000  0.5000

Summary:
Space-group type: Fm-3m (225)
DFT total energy: -1.73 eV/atom
Polymorph energy (0 for the lowest one): 0.0 meV per atom
Formation energy: 0.646 eV per atom
Calculated density: 2.501 g cm⁻³
Calculated volume: 62.7 Å³/atom


No. 10
Pr3ZnTe6 after structural relaxation. Source: the Alexandria database, functional PBE-GGA.

abc: 9.9573 9.9573 7.2807
angles: 90.00 90.00 101.92
Fractional positions:
Pr  0.1128  0.8872  0.5000
Pr  0.2258  0.4267  0.4019
Pr  0.4267  0.2258  0.9019
Pr  0.5733  0.7742  0.4019
Pr  0.7742  0.5733  0.9019
Pr  0.8872  0.1128  0.0000
Zn  0.2966  0.7034  0.8548
Zn  0.7034  0.2966  0.3548
Te  0.0624  0.5873  0.6872
Te  0.1354  0.1850  0.6986
Te  0.1850  0.1354  0.1986
Te  0.2748  0.7252  0.2152
Te  0.4127  0.9376  0.6872
Te  0.4596  0.5404  0.7196
Te  0.5404  0.4596  0.2196
Te  0.5873  0.0624  0.1872
Te  0.7252  0.2748  0.7152
Te  0.8150  0.8646  0.6986
Te  0.8646  0.8150  0.1986
Te  0.9376  0.4127  0.1872

Summary:
Space-group type: Cmc2_1 (36)
DFT total energy: -4.56 eV/atom
Calculated density: 5.895 g cm⁻³
Raw formation energy: -1112 meV/atom
Calculated volume: 35.3 Å³/atom


No. 11
Pm5Pr12Tm2 after structural relaxation. Source: the Alexandria database, functional PBE-GGA.

abc: 10.4269 10.4269 10.2015
angles: 114.06 114.06 42.74
Fractional positions:
Pm  0.0000  0.0000  0.0000
Pm  0.1745  0.1745  0.6695
Pm  0.3231  0.3231  0.3039
Pm  0.6769  0.6769  0.6961
Pm  0.8255  0.8255  0.3305
Pr  0.0072  0.0072  0.7141
Pr  0.0740  0.5943  0.9999
Pr  0.0900  0.5913  0.6500
Pr  0.4057  0.9260  0.0001
Pr  0.4087  0.9100  0.3500
Pr  0.4918  0.4918  0.1743
Pr  0.5082  0.5082  0.8257
Pr  0.5913  0.0900  0.6500
Pr  0.5943  0.0740  0.9999
Pr  0.9100  0.4087  0.3500
Pr  0.9260  0.4057  0.0001
Pr  0.9928  0.9928  0.2859
Tm  0.2988  0.7012  0.5000
Tm  0.7012  0.2988  0.5000

Summary:
Space-group type: C2/m (12)
DFT total energy: -4.58 eV/atom
Polymorph energy (0 for the lowest one): 42.7 meV per atom
Formation energy: 0.162 eV per atom
Calculated density: 6.757 g cm⁻³
Calculated volume: 35.6 Å³/atom


No. 12
Ti2ZnGe2 after structural relaxation. Source: the Alexandria database, functional PBE-GGA.

abc: 6.9374 6.9374 3.5229
angles: 90.00 90.00 90.00
Fractional positions:
Ti  0.1418  0.3582  0.0000
Ti  0.3582  0.8582  0.0000
Ti  0.6418  0.1418  0.0000
Ti  0.8582  0.6418  0.0000
Zn  0.0000  0.0000  0.0000
Zn  0.5000  0.5000  0.0000
Ge  0.1630  0.6630  0.5000
Ge  0.3370  0.1630  0.5000
Ge  0.6630  0.8370  0.5000
Ge  0.8370  0.3370  0.5000

Summary:
Space-group type: P4/mbm (127)
DFT total energy: -5.50 eV/atom
Polymorph energy (0 for the lowest one): 120.6 meV per atom
Formation energy: -0.241 eV per atom
Calculated density: 6.002 g cm⁻³
Calculated volume: 17.0 Å³/atom